# 1
Compound: LaPu3Fe
Source: the Alexandria database
Functional: PBE
Structure: optimized geometry

a b c (Å): 5.1780 5.1780 5.1780
angles (deg): 90.00 90.00 90.00
Closest atoms and distances in Å follow each position.
Fractional coordinates of all 5 atoms:
La 0.5000 0.5000 0.5000  12 Pu 3.66
Fe 0.0000 0.0000 0.0000  6 Pu 2.59
Pu 0.0000 0.5000 0.0000  2 Fe 2.59
Pu 0.0000 0.0000 0.5000  2 Fe 2.59
Pu 0.5000 0.0000 0.0000  2 Fe 2.59

Summary:
Energy of formation, eV/atom: 0.234
Total moment, μB/atom: 3.425
DOS at the Fermi energy, states/eV/cell: 18.95



# 2
Compound: LaPuFe
Source: the Alexandria database
Functional: PBE
Structure: optimized geometry

a b c (Å): 4.4540 4.7504 7.1125
angles (deg): 90.00 90.00 90.00
Closest atoms and distances in Å follow each position.
Fractional coordinates of all 6 atoms:
Fe 0.5000 0.0000 0.6678  2 Pu 2.44
Fe 0.0000 0.5000 0.3322  2 Pu 2.44
Pu 0.0000 0.0000 0.4126  2 Fe 2.44
Pu 0.5000 0.5000 0.5874  2 Fe 2.44
La 0.5000 0.5000 0.0932  2 Fe 2.80
La 0.0000 0.0000 0.9068  2 Fe 2.80

Summary:
Energy above the most stable polymorph in this dataset, eV per atom: 0.035
Energy of formation, eV/atom: 0.153
Total moment, μB/atom: 1.503
DOS at the Fermi energy, states/eV/cell: 15.07